(1)
The following is a DFT calculation (PBE) of a relaxed structure of CdNiIr.

Properties
Its total magnetization is 0.01 μB/f.u. Its crystal system is hexagonal. Its offset from the most stable computed form is 0.1190 eV/atom. Its formation energy is 0.255 eV/atom. As for the space-group type: No. 187.

```
3
Lattice="-1.930 2.227 -3.185 0.922 -4.206 -0.543 -2.534 -0.691 1.052" Properties=species:S:1:pos:R:3 pbc="T T T"
Cd -2.533 -0.691 1.052
Ir -1.295 -2.407 -0.898
Ni -2.247 -0.263 -1.778
```

---

(2)
The following is a DFT calculation (PBE) of a relaxed structure of Cd2NiIr.

Properties
Its total magnetization is 0.00 μB/f.u. Its crystal system is orthorhombic. Its formation energy is 0.188 eV/atom. As for the space-group type: No. 47.

```
4
Lattice="-1.032 -3.442 1.329 1.364 0.566 2.526 -3.539 2.857 4.652" Properties=species:S:1:pos:R:3 pbc="T T T"
Ir -1.060 -0.865 2.459
Cd -3.508 2.842 4.637
Cd -1.119 1.726 3.603
Ni -2.148 0.846 6.047
```

---

(3)
The following is a DFT calculation (PBE) of a relaxed structure of Cd2NiIr2.

Properties
Its total magnetization is 0.73 μB/f.u. Its crystal system is tetragonal. Its offset from the most stable computed form is 0.0000 eV/atom. Its formation energy is 0.223 eV/atom. As for the space-group type: No. 127.

```
10
Lattice="-4.682 -4.122 0.980 2.952 -2.126 5.161 -2.109 2.973 2.431" Properties=species:S:1:pos:R:3 pbc="T T T"
Cd -1.768 -3.047 6.141
Cd -2.070 -0.228 2.431
Ni -0.865 -3.124 3.071
Ni 0.000 0.000 0.000
Ir -2.167 -4.914 4.130
Ir 0.847 -3.337 4.816
Cd 0.122 -0.661 4.862
Ir -2.576 -2.912 1.326
Cd -3.960 -2.615 3.710
Ir 0.437 -1.335 2.012
```

---

(4)
The following is a DFT calculation (PBE) of a relaxed structure of CdNi2Ir.

Properties
Its total magnetization is 1.55 μB/f.u. Its crystal system is tetragonal. Its formation energy is 0.218 eV/atom. As for the space-group type: No. 119.

```
4
Lattice="4.735 0.000 0.000 1.682 4.426 0.000 -3.208 -2.213 2.689" Properties=species:S:1:pos:R:3 pbc="T T T"
Ni 0.000 0.000 0.000
Ni 0.841 2.213 1.344
Cd 3.208 2.213 0.000
Ir 2.367 0.000 1.344
```

---

(5)
The following is a DFT calculation (PBE) of a relaxed structure of CdNi2Ir.

Properties
Its total magnetization is 0.88 μB/f.u. Its crystal system is trigonal. Its formation energy is 0.212 eV/atom. As for the space-group type: No. 160.

```
4
Lattice="-5.642 2.477 -6.282 -3.898 1.014 -7.824 -5.942 -0.249 -6.486" Properties=species:S:1:pos:R:3 pbc="T T T"
Ir -11.476 2.403 -15.265
Ni -3.990 0.835 -5.307
Cd -7.800 1.633 -10.375
Ni -15.438 3.232 -20.534
```

---

(6)
The following is a DFT calculation (PBE) of a relaxed structure of CdNi2Ir.

Properties
Its total magnetization is 1.28 μB/f.u. Its crystal system is orthorhombic. Its formation energy is 0.306 eV/atom. As for the space-group type: No. 35.

```
4
Lattice="2.699 -0.010 0.000 -1.198 2.418 0.000 0.000 0.000 8.819" Properties=species:S:1:pos:R:3 pbc="T T T"
Ir 0.750 1.204 6.818
Cd 0.000 0.000 4.308
Ni 0.750 1.204 2.016
Ni 0.000 0.000 0.086
```

---

(7)
The following is a DFT calculation (PBE) of a relaxed structure of CdNiIr.

Properties
Its total magnetization is 0.36 μB/f.u. Its crystal system is trigonal. Its offset from the most stable computed form is 0.0374 eV/atom. Its formation energy is 0.173 eV/atom. As for the space-group type: No. 156.

```
3
Lattice="-1.483 0.667 -2.286 -0.690 -2.262 1.508 -4.054 3.712 3.714" Properties=species:S:1:pos:R:3 pbc="T T T"
Cd -4.012 3.674 3.675
Ir -2.668 1.018 0.307
Ni -3.601 1.138 2.668
```

---

(8)
The following is a DFT calculation (PBE) of a relaxed structure of CdNi2Ir.

Properties
Its total magnetization is 0.00 μB/f.u. Its crystal system is orthorhombic. Its formation energy is 0.092 eV/atom. As for the space-group type: No. 47.

```
4
Lattice="2.729 0.000 0.000 0.000 3.635 0.000 0.000 0.000 5.682" Properties=species:S:1:pos:R:3 pbc="T T T"
Ni 0.000 0.000 3.023
Cd 1.364 1.817 1.421
Ir 1.364 1.817 4.262
Ni 0.000 0.000 5.500
```

---

(9)
The following is a DFT calculation (PBE) of a relaxed structure of Cd2NiIr.

Properties
Its total magnetization is 0.56 μB/f.u. Its crystal system is tetragonal. Its formation energy is 0.553 eV/atom. As for the space-group type: No. 122.

```
8
Lattice="-0.100 -1.017 3.752 1.870 -3.303 -0.846 9.197 2.188 2.853" Properties=species:S:1:pos:R:3 pbc="T T T"
Cd 2.471 -0.499 2.943
Cd 3.455 -1.647 0.663
Cd 8.442 -2.131 4.684
Ni 0.885 -2.160 1.453
Cd 7.567 0.012 3.227
Ir 4.991 -0.495 4.029
Ir 0.000 0.000 0.000
Ni 5.976 -1.638 1.730
```

---

(10)
The following is a DFT calculation (PBE) of a relaxed structure of CdNiIr.

Properties
Its total magnetization is 1.27 μB/f.u. Its crystal system is cubic. Its offset from the most stable computed form is 0.3178 eV/atom. Its formation energy is 0.454 eV/atom. As for the space-group type: No. 216.

```
3
Lattice="4.167 0.000 0.000 2.083 3.609 0.000 2.083 1.203 3.402" Properties=species:S:1:pos:R:3 pbc="T T T"
Ir 4.167 2.406 1.701
Cd 0.000 0.000 0.000
Ni 6.250 3.609 2.552
```

---

(11)
The following is a DFT calculation (PBE) of a relaxed structure of Cd2NiIr.

Properties
Its total magnetization is 0.00 μB/f.u. Its crystal system is tetragonal. Its formation energy is 0.177 eV/atom. As for the space-group type: No. 139.

```
4
Lattice="4.802 -0.043 0.000 1.268 4.631 0.000 -3.035 -2.294 2.930" Properties=species:S:1:pos:R:3 pbc="T T T"
Cd 3.035 2.294 0.000
Ir 0.634 2.316 1.465
Cd 0.000 0.000 0.000
Ni 2.401 -0.021 1.465
```

---

(12)
The following is a DFT calculation (PBE) of a relaxed structure of CdNi2Ir.

Properties
Its total magnetization is 1.24 μB/f.u. Its crystal system is orthorhombic. Its formation energy is 0.300 eV/atom. As for the space-group type: No. 71.

```
4
Lattice="-2.691 -2.604 -3.300 2.524 -1.420 -4.065 -0.162 -0.346 4.977" Properties=species:S:1:pos:R:3 pbc="T T T"
Ni -0.082 -1.976 -3.616
Cd -1.468 -2.481 -1.003
Ir 1.139 -1.889 -1.386
Ni -0.002 -0.036 -0.066
```